This record from Alexandria via LeMat-Bulk describes a relaxed TaZnHg crystal. The functional is PBE-GGA.

Lattice parameters (Å, degrees): 2.9840 2.9840 7.1890 90.00 90.00 120.00
Space group P3m1 (No. 156)
Symmetry-distinct sites (fractional):
Ta (0.0000, 0.0000, 0.0000) (multiplicity 1)
Zn (0.3333, 0.6667, 0.3149) (multiplicity 1)
Hg (0.6667, 0.3333, 0.6501) (multiplicity 1)

Output
The energy above the most stable polymorph in this dataset is 86 meV per atom. The calculated volume is 18.5 A^3/atom. As for the formation enthalpy at 0 K: 0.2931 eV per atom.